Entry 1:
DFT (SCAN) results for Ca2AlNi at its PBEsol-relaxed geometry.

abc: 3.5860 5.0994 9.7860
angles: 90.00 90.00 90.00
Space group Imm2 (No. 44)
Asymmetric unit:
Ca 0.0000 0.0000 0.0000 (multiplicity 2)
Ca 0.0000 0.5000 0.1965 (multiplicity 2)
Al 0.0000 0.0000 0.4044 (multiplicity 2)
Ni 0.0000 0.5000 0.7532 (multiplicity 2)

Output
V	89.5	Å³/f.u.
formation energy	-0.128	eV/atom

=====

Entry 2:
DFT (SCAN) results for CaAlNi at its PBEsol-relaxed geometry.

abc: 3.1518 3.1518 10.8080
angles: 90.00 90.00 90.00
Space group I4mm (No. 107)
Asymmetric unit:
Ca 0.0000 0.0000 0.0000 (multiplicity 2)
Al 0.0000 0.0000 0.2820 (multiplicity 2)
Ni 0.0000 0.0000 0.6886 (multiplicity 2)

Output
V	53.7	Å³/f.u.
formation energy	-0.275	eV/atom

=====

Entry 3:
DFT (SCAN) results for Ca2AlNi at its PBEsol-relaxed geometry.

abc: 6.8153 6.8153 6.8153
angles: 90.00 90.00 90.00
Space group F-43m (No. 216)
Asymmetric unit:
Ca 0.0000 0.0000 0.0000 (multiplicity 4)
Ca 0.2500 0.2500 0.2500 (multiplicity 4)
Al 0.0000 0.0000 0.5000 (multiplicity 4)
Ni 0.2500 0.2500 0.7500 (multiplicity 4)

Output
V	79.1	Å³/f.u.
formation energy	0.057	eV/atom

=====

Entry 4:
DFT (SCAN) results for Ca2AlNiO5 at its PBEsol-relaxed geometry.

abc: 13.8800 5.6086 5.2252
angles: 90.00 90.00 90.00
Space group Ima2 (No. 46)
Asymmetric unit:
Ca 0.1056 0.0357 0.0000 (multiplicity 8)
Al 0.2500 0.5827 0.9589 (multiplicity 4)
Ni 0.0000 0.0000 0.5134 (multiplicity 4)
O 0.0170 0.7431 0.7563 (multiplicity 8)
O 0.1419 0.0665 0.5311 (multiplicity 8)
O 0.2500 0.6385 0.6212 (multiplicity 4)

Output
V	101.7	Å³/f.u.
formation energy from raw total energies	-2.730	eV per atom

=====

Entry 5:
DFT (SCAN) results for CaAlNiO2 at its PBEsol-relaxed geometry.

abc: 3.5975 3.5975 6.6406
angles: 90.00 90.00 90.00
Space group P4/mmm (No. 123)
Asymmetric unit:
Ca 0.0000 0.0000 0.0000 (multiplicity 1)
Al 0.0000 0.0000 0.5000 (multiplicity 1)
Ni 0.5000 0.5000 0.0000 (multiplicity 1)
O 0.0000 0.5000 0.5000 (multiplicity 2)

Output
V	85.9	Å³/f.u.
formation energy from raw total energies	-0.711	eV per atom

=====

Entry 6:
DFT (SCAN) results for Ca4Al6O13 at its PBEsol-relaxed geometry.

abc: 8.7969 8.7969 8.7969
angles: 90.00 90.00 90.00
Space group I-43m (No. 217)
Asymmetric unit:
Ca 0.1542 0.1542 0.1542 (multiplicity 8)
Al 0.0000 0.2500 0.5000 (multiplicity 12)
O 0.0000 0.0000 0.0000 (multiplicity 2)
O 0.0918 0.3607 0.6393 (multiplicity 24)

Output
V	340.4	Å³/f.u.
formation energy from raw total energies	-3.321	eV per atom

=====

Entry 7:
DFT (SCAN) results for CaAl12O19 at its PBEsol-relaxed geometry.

abc: 5.5775 5.5775 21.8365
angles: 90.00 90.00 120.00
Space group P6_3mc (No. 186)
Asymmetric unit:
Ca 0.3333 0.6667 0.0000 (multiplicity 2)
Al 0.0000 0.0000 0.2479 (multiplicity 2)
Al 0.0000 0.0000 0.4941 (multiplicity 2)
Al 0.1679 0.3358 0.1383 (multiplicity 6)
Al 0.1686 0.3372 0.8575 (multiplicity 6)
Al 0.3333 0.6667 0.2766 (multiplicity 2)
Al 0.3333 0.6667 0.4390 (multiplicity 2)
Al 0.3333 0.6667 0.5567 (multiplicity 2)
Al 0.3333 0.6667 0.7194 (multiplicity 2)
O 0.0000 0.0000 0.0980 (multiplicity 2)
O 0.0000 0.0000 0.3992 (multiplicity 2)
O 0.0065 0.5032 0.8974 (multiplicity 6)
O 0.0070 0.5035 0.0982 (multiplicity 6)
O 0.1545 0.3090 0.3007 (multiplicity 6)
O 0.1549 0.3098 0.6957 (multiplicity 6)
O 0.1819 0.3639 0.4977 (multiplicity 6)
O 0.3333 0.6667 0.1935 (multiplicity 2)
O 0.3333 0.6667 0.8026 (multiplicity 2)

Output
V	294.1	Å³/f.u.
formation energy from raw total energies	-3.368	eV per atom

=====

Entry 8:
DFT (SCAN) results for Ca6Al7O16 at its PBEsol-relaxed geometry.

abc: 11.9978 11.9978 11.9978
angles: 90.00 90.00 90.00
Space group I-43d (No. 220)
Asymmetric unit:
Ca 0.0000 0.2500 0.1375 (multiplicity 24)
Al 0.0000 0.2500 0.8750 (multiplicity 12)
Al 0.0170 0.0170 0.0170 (multiplicity 16)
O 0.0348 0.4430 0.1505 (multiplicity 48)
O 0.0666 0.4334 0.5666 (multiplicity 16)

Output
V	431.8	Å³/f.u.
formation energy from raw total energies	-3.316	eV per atom

=====

Entry 9:
DFT (SCAN) results for Ca2Al2O5 at its PBEsol-relaxed geometry.

abc: 14.3460 5.4070 5.2289
angles: 90.00 90.00 90.00
Space group Ima2 (No. 46)
Asymmetric unit:
Ca 0.1072 0.0248 0.0000 (multiplicity 8)
Al 0.0000 0.0000 0.5068 (multiplicity 4)
Al 0.2500 0.5738 0.9581 (multiplicity 4)
O 0.0109 0.7473 0.7554 (multiplicity 8)
O 0.1407 0.0578 0.5228 (multiplicity 8)
O 0.2500 0.6349 0.6201 (multiplicity 4)

Output
V	101.4	Å³/f.u.
formation energy from raw total energies	-3.350	eV per atom

=====

Entry 10:
DFT (SCAN) results for CaAl12O19 at its PBEsol-relaxed geometry.

abc: 5.5778 5.5778 21.8145
angles: 90.00 90.00 120.00
Space group P6_3/mmc (No. 194)
Asymmetric unit:
Ca 0.3333 0.6667 0.2500 (multiplicity 2)
Al 0.0000 0.0000 0.0000 (multiplicity 2)
Al 0.0000 0.0000 0.2500 (multiplicity 2)
Al 0.1682 0.3364 0.1096 (multiplicity 12)
Al 0.3333 0.6667 0.5287 (multiplicity 4)
Al 0.3333 0.6667 0.6911 (multiplicity 4)
O 0.0000 0.0000 0.1509 (multiplicity 4)
O 0.0068 0.5034 0.1496 (multiplicity 12)
O 0.1547 0.3093 0.5526 (multiplicity 12)
O 0.1820 0.3641 0.7500 (multiplicity 6)
O 0.3333 0.6667 0.0545 (multiplicity 4)

Output
V	293.9	Å³/f.u.
formation energy from raw total energies	-3.368	eV per atom

=====

Entry 11:
DFT (SCAN) results for Ca2AlP2O9 at its PBEsol-relaxed geometry.

abc: 7.6644 5.5628 8.2734
angles: 90.00 113.59 90.00
Space group P2_1/m (No. 11)
Asymmetric unit:
Ca 0.1825 0.2500 0.0858 (multiplicity 2)
Ca 0.2007 0.7500 0.7487 (multiplicity 2)
Al 0.5000 0.0000 0.5000 (multiplicity 2)
P 0.0826 0.7500 0.3110 (multiplicity 2)
P 0.4899 0.2500 0.8270 (multiplicity 2)
O 0.0046 0.7500 0.4541 (multiplicity 2)
O 0.0157 0.5258 0.1915 (multiplicity 4)
O 0.2975 0.7500 0.0547 (multiplicity 2)
O 0.3087 0.7500 0.4045 (multiplicity 2)
O 0.3495 0.2500 0.3876 (multiplicity 2)
O 0.3665 0.2500 0.9315 (multiplicity 2)
O 0.4373 0.0227 0.7027 (multiplicity 4)

Output
V	161.6	Å³/f.u.
formation energy from raw total energies	-2.936	eV per atom

=====

Entry 12:
DFT (SCAN) results for CaAlPO2 at its PBEsol-relaxed geometry.

abc: 4.0914 4.0914 5.5987
angles: 90.00 90.00 90.00
Space group P4/mmm (No. 123)
Asymmetric unit:
Ca 0.0000 0.0000 0.0000 (multiplicity 1)
Al 0.5000 0.5000 0.5000 (multiplicity 1)
P 0.0000 0.0000 0.5000 (multiplicity 1)
O 0.0000 0.5000 0.0000 (multiplicity 2)

Output
V	93.7	Å³/f.u.
formation energy from raw total energies	-0.143	eV per atom

=====

Entry 13:
DFT (SCAN) results for CaAlPtO2 at its PBEsol-relaxed geometry.

abc: 4.0785 4.0785 5.2126
angles: 90.00 90.00 90.00
Space group P4/mmm (No. 123)
Asymmetric unit:
Ca 0.0000 0.0000 0.0000 (multiplicity 1)
Al 0.5000 0.5000 0.0000 (multiplicity 1)
Pt 0.0000 0.0000 0.5000 (multiplicity 1)
O 0.0000 0.5000 0.5000 (multiplicity 2)

Output
V	86.7	Å³/f.u.
formation energy from raw total energies	0.075	eV per atom

=====

Entry 14:
DFT (SCAN) results for Ca4Al6SO16 at its PBEsol-relaxed geometry.

abc: 9.2391 9.2391 9.3193
angles: 90.00 90.00 90.00
Space group I-4 (No. 82)
Asymmetric unit:
Ca 0.2016 0.2702 0.4673 (multiplicity 8)
Al 0.0000 0.0000 0.0000 (multiplicity 2)
Al 0.0000 0.0000 0.5000 (multiplicity 2)
Al 0.0130 0.2491 0.7542 (multiplicity 8)
S 0.0000 0.5000 0.2500 (multiplicity 2)
O 0.0152 0.3694 0.3418 (multiplicity 8)
O 0.0307 0.8404 0.5939 (multiplicity 8)
O 0.0719 0.1475 0.9024 (multiplicity 8)
O 0.1478 0.6630 0.8016 (multiplicity 8)

Output
V	397.8	Å³/f.u.
formation energy from raw total energies	-3.154	eV per atom